(1)
First-principles (PBE) data for RbTb2CuTeSe3 after structural relaxation, as listed in OQMD via LeMat-Bulk.

Results
Energy = -77.66 eV/cell

Cell and atoms, written as CIF:
```
data_RbTb2CuTeSe3
_chemical_formula_sum 'Rb2 Tb4 Cu2 Te2 Se6'
_symmetry_space_group_name_H-M 'P 1'
_symmetry_Int_Tables_number 1
_symmetry_space_group_name_Hall 'P 1'
_cell_length_a 7.581
_cell_length_b 7.581
_cell_length_c 14.766
_cell_angle_alpha 90.00
_cell_angle_beta 90.00
_cell_angle_gamma 147.69
loop_
_atom_site_label
_atom_site_type_symbol
_atom_site_fract_x
_atom_site_fract_y
_atom_site_fract_z
Se1 Se 0.757 0.243 0.892
Se2 Se 0.757 0.243 0.608
Se3 Se 0.500 0.500 0.000
Se4 Se 0.500 0.500 0.500
Se5 Se 0.243 0.757 0.108
Se6 Se 0.243 0.757 0.392
Cu1 Cu 0.663 0.337 0.750
Cu2 Cu 0.337 0.663 0.250
Tb1 Tb 0.133 0.867 0.557
Tb2 Tb 0.867 0.133 0.443
Tb3 Tb 0.133 0.867 0.943
Tb4 Tb 0.867 0.133 0.057
Rb1 Rb 0.372 0.628 0.750
Rb2 Rb 0.628 0.372 0.250
Te1 Te 0.060 0.940 0.750
Te2 Te 0.940 0.060 0.250
```

(2)
First-principles (PBE) data for AcAl6Cu after structural relaxation, as listed in OQMD via LeMat-Bulk.

Results
Energy = -32.42 eV/cell

Cell and atoms, written as CIF:
```
data_AcAl6Cu
_chemical_formula_sum 'Ac1 Al6 Cu1'
_symmetry_space_group_name_H-M 'P 1'
_symmetry_Int_Tables_number 1
_symmetry_space_group_name_Hall 'P 1'
_cell_length_a 4.425
_cell_length_b 4.425
_cell_length_c 8.187
_cell_angle_alpha 90.00
_cell_angle_beta 90.00
_cell_angle_gamma 90.00
loop_
_atom_site_label
_atom_site_type_symbol
_atom_site_fract_x
_atom_site_fract_y
_atom_site_fract_z
Ac1 Ac 0.000 0.000 0.000
Cu1 Cu 0.000 0.000 0.500
Al1 Al 0.500 0.500 0.157
Al2 Al 0.000 0.500 0.663
Al3 Al 0.500 0.000 0.663
Al4 Al 0.500 0.500 0.843
Al5 Al 0.500 0.000 0.337
Al6 Al 0.000 0.500 0.337
```

(3)
First-principles (PBE) data for AlTcPb2 after structural relaxation, as listed in OQMD via LeMat-Bulk.

Results
Energy = -18.55 eV/cell

Cell and atoms, written as CIF:
```
data_AlTcPb2
_chemical_formula_sum 'Al1 Tc1 Pb2'
_symmetry_space_group_name_H-M 'P 1'
_symmetry_Int_Tables_number 1
_symmetry_space_group_name_Hall 'P 1'
_cell_length_a 4.993
_cell_length_b 4.993
_cell_length_c 4.993
_cell_angle_alpha 60.00
_cell_angle_beta 60.00
_cell_angle_gamma 60.00
loop_
_atom_site_label
_atom_site_type_symbol
_atom_site_fract_x
_atom_site_fract_y
_atom_site_fract_z
Pb1 Pb 0.750 0.750 0.750
Pb2 Pb 0.500 0.500 0.500
Al1 Al 0.000 0.000 0.000
Tc1 Tc 0.250 0.250 0.250
```

(4)
First-principles (PBE) data for Y4Ta2Bi3N3 after structural relaxation, as listed in OQMD via LeMat-Bulk.

Results
Energy = -192.26 eV/cell

Cell and atoms, written as CIF:
```
data_Y4Ta2Bi3N3
_chemical_formula_sum 'Y8 Ta4 Bi6 N6'
_symmetry_space_group_name_H-M 'P 1'
_symmetry_Int_Tables_number 1
_symmetry_space_group_name_Hall 'P 1'
_cell_length_a 6.110
_cell_length_b 6.110
_cell_length_c 14.833
_cell_angle_alpha 101.83
_cell_angle_beta 101.83
_cell_angle_gamma 60.31
loop_
_atom_site_label
_atom_site_type_symbol
_atom_site_fract_x
_atom_site_fract_y
_atom_site_fract_z
Bi1 Bi 0.417 0.273 0.252
Bi2 Bi 0.273 0.417 0.752
Bi3 Bi 0.727 0.583 0.248
Bi4 Bi 0.583 0.727 0.748
Bi5 Bi 0.112 0.888 0.250
Bi6 Bi 0.888 0.112 0.750
N1 N 0.000 0.500 0.000
N2 N 0.191 0.655 0.500
N3 N 0.809 0.345 0.500
N4 N 0.655 0.191 0.000
N5 N 0.345 0.809 0.000
N6 N 0.500 0.000 0.500
Y1 Y 0.809 0.963 0.411
Y2 Y 0.131 0.302 0.411
Y3 Y 0.869 0.698 0.589
Y4 Y 0.698 0.869 0.089
Y5 Y 0.191 0.037 0.589
Y6 Y 0.963 0.809 0.911
Y7 Y 0.037 0.191 0.089
Y8 Y 0.302 0.131 0.911
Ta1 Ta 0.649 0.477 0.930
Ta2 Ta 0.477 0.649 0.430
Ta3 Ta 0.523 0.351 0.570
Ta4 Ta 0.351 0.523 0.070
```

(5)
First-principles (PBE) data for KCuSe after structural relaxation, as listed in OQMD via LeMat-Bulk.

Results
Energy = -29.09 eV/cell

Cell and atoms, written as CIF:
```
data_KCuSe
_chemical_formula_sum 'K3 Cu3 Se3'
_symmetry_space_group_name_H-M 'P 1'
_symmetry_Int_Tables_number 1
_symmetry_space_group_name_Hall 'P 1'
_cell_length_a 6.689
_cell_length_b 6.689
_cell_length_c 5.000
_cell_angle_alpha 90.00
_cell_angle_beta 90.00
_cell_angle_gamma 120.00
loop_
_atom_site_label
_atom_site_type_symbol
_atom_site_fract_x
_atom_site_fract_y
_atom_site_fract_z
Se1 Se 0.333 0.667 0.000
Se2 Se 0.000 0.000 0.500
Se3 Se 0.667 0.333 0.000
Cu1 Cu 0.000 0.227 0.000
Cu2 Cu 0.227 0.000 0.000
Cu3 Cu 0.773 0.773 0.000
K1 K 0.000 0.540 0.500
K2 K 0.460 0.460 0.500
K3 K 0.540 0.000 0.500
```

(6)
First-principles (PBE) data for GaFe2Au after structural relaxation, as listed in OQMD via LeMat-Bulk.

Results
Energy = -22.73 eV/cell

Cell and atoms, written as CIF:
```
data_GaFe2Au
_chemical_formula_sum 'Ga1 Fe2 Au1'
_symmetry_space_group_name_H-M 'P 1'
_symmetry_Int_Tables_number 1
_symmetry_space_group_name_Hall 'P 1'
_cell_length_a 4.269
_cell_length_b 4.269
_cell_length_c 4.269
_cell_angle_alpha 60.00
_cell_angle_beta 60.00
_cell_angle_gamma 60.00
loop_
_atom_site_label
_atom_site_type_symbol
_atom_site_fract_x
_atom_site_fract_y
_atom_site_fract_z
Fe1 Fe 0.000 0.000 0.000
Fe2 Fe 0.750 0.750 0.750
Ga1 Ga 0.500 0.500 0.500
Au1 Au 0.250 0.250 0.250
```

(7)
First-principles (PBE) data for KLiHfS3 after structural relaxation, as listed in OQMD via LeMat-Bulk.

Results
Energy above the most stable polymorph in this dataset = 0.0000 eV per atom
Energy = -137.60 eV/cell

Cell and atoms, written as CIF:
```
data_KLiHfS3
_chemical_formula_sum 'K4 Li4 Hf4 S12'
_symmetry_space_group_name_H-M 'P 1'
_symmetry_Int_Tables_number 1
_symmetry_space_group_name_Hall 'P 1'
_cell_length_a 14.163
_cell_length_b 3.795
_cell_length_c 10.178
_cell_angle_alpha 90.00
_cell_angle_beta 90.00
_cell_angle_gamma 90.00
loop_
_atom_site_label
_atom_site_type_symbol
_atom_site_fract_x
_atom_site_fract_y
_atom_site_fract_z
S1 S 0.409 0.250 0.567
S2 S 0.124 0.250 0.765
S3 S 0.420 0.750 0.870
S4 S 0.376 0.750 0.265
S5 S 0.091 0.750 0.067
S6 S 0.580 0.250 0.130
S7 S 0.624 0.250 0.735
S8 S 0.909 0.250 0.933
S9 S 0.920 0.750 0.630
S10 S 0.080 0.250 0.370
S11 S 0.876 0.750 0.235
S12 S 0.591 0.750 0.433
Li1 Li 0.986 0.750 0.411
Li2 Li 0.014 0.250 0.589
Li3 Li 0.486 0.750 0.089
Li4 Li 0.514 0.250 0.911
K1 K 0.230 0.750 0.525
K2 K 0.770 0.250 0.475
K3 K 0.730 0.750 0.975
K4 K 0.270 0.250 0.025
Hf1 Hf 0.987 0.250 0.166
Hf2 Hf 0.487 0.250 0.334
Hf3 Hf 0.513 0.750 0.666
Hf4 Hf 0.013 0.750 0.834
```

(8)
First-principles (PBE) data for NdY2Mg3Pt3 after structural relaxation, as listed in OQMD via LeMat-Bulk.

Results
Energy = -48.95 eV/cell

Cell and atoms, written as CIF:
```
data_NdY2Mg3Pt3
_chemical_formula_sum 'Nd1 Y2 Mg3 Pt3'
_symmetry_space_group_name_H-M 'P 1'
_symmetry_Int_Tables_number 1
_symmetry_space_group_name_Hall 'P 1'
_cell_length_a 4.096
_cell_length_b 7.421
_cell_length_c 7.421
_cell_angle_alpha 119.89
_cell_angle_beta 90.00
_cell_angle_gamma 90.00
loop_
_atom_site_label
_atom_site_type_symbol
_atom_site_fract_x
_atom_site_fract_y
_atom_site_fract_z
Pt1 Pt 0.500 0.329 0.668
Pt2 Pt 0.000 0.004 0.004
Pt3 Pt 0.500 0.668 0.329
Mg1 Mg 0.500 0.242 0.242
Mg2 Mg 0.500 0.757 0.003
Mg3 Mg 0.500 0.003 0.757
Y1 Y 0.000 0.001 0.410
Y2 Y 0.000 0.410 0.001
Nd1 Nd 0.000 0.587 0.587
```

(9)
First-principles (PBE) data for PuNp after structural relaxation, as listed in OQMD via LeMat-Bulk.

Results
Energy above the most stable polymorph in this dataset = 0.1824 eV per atom
Energy = -26.36 eV/cell
E_form = 0.270 eV per atom

Cell and atoms, written as CIF:
```
data_PuNp
_chemical_formula_sum 'Pu1 Np1'
_symmetry_space_group_name_H-M 'P 1'
_symmetry_Int_Tables_number 1
_symmetry_space_group_name_Hall 'P 1'
_cell_length_a 3.628
_cell_length_b 3.628
_cell_length_c 3.628
_cell_angle_alpha 60.00
_cell_angle_beta 60.00
_cell_angle_gamma 60.00
loop_
_atom_site_label
_atom_site_type_symbol
_atom_site_fract_x
_atom_site_fract_y
_atom_site_fract_z
Np1 Np 0.000 0.000 0.000
Pu1 Pu 0.500 0.500 0.500
```

(10)
First-principles (PBE) data for ThHg after structural relaxation, as listed in OQMD via LeMat-Bulk.

Results
Energy = -7.97 eV/cell
E_form = -0.132 eV per atom

Cell and atoms, written as CIF:
```
data_ThHg
_chemical_formula_sum 'Th1 Hg1'
_symmetry_space_group_name_H-M 'P 1'
_symmetry_Int_Tables_number 1
_symmetry_space_group_name_Hall 'P 1'
_cell_length_a 3.523
_cell_length_b 3.523
_cell_length_c 5.288
_cell_angle_alpha 90.00
_cell_angle_beta 90.00
_cell_angle_gamma 120.00
loop_
_atom_site_label
_atom_site_type_symbol
_atom_site_fract_x
_atom_site_fract_y
_atom_site_fract_z
Th1 Th 0.333 0.667 0.250
Hg1 Hg 0.667 0.333 0.750
```

What did the tenth record say?
First-principles (PBE) data for ThHg after structural relaxation, as listed in OQMD via LeMat-Bulk.

Results
Energy = -7.97 eV/cell
E_form = -0.132 eV per atom

Cell and atoms, written as CIF:
```
data_ThHg
_chemical_formula_sum 'Th1 Hg1'
_symmetry_space_group_name_H-M 'P 1'
_symmetry_Int_Tables_number 1
_symmetry_space_group_name_Hall 'P 1'
_cell_length_a 3.523
_cell_length_b 3.523
_cell_length_c 5.288
_cell_angle_alpha 90.00
_cell_angle_beta 90.00
_cell_angle_gamma 120.00
loop_
_atom_site_label
_atom_site_type_symbol
_atom_site_fract_x
_atom_site_fract_y
_atom_site_fract_z
Th1 Th 0.333 0.667 0.250
Hg1 Hg 0.667 0.333 0.750
```

Q: The highest energy belongs to which entry?
A: ThHg

What did the second record say?
First-principles (PBE) data for AcAl6Cu after structural relaxation, as listed in OQMD via LeMat-Bulk.

Results
Energy = -32.42 eV/cell

Cell and atoms, written as CIF:
```
data_AcAl6Cu
_chemical_formula_sum 'Ac1 Al6 Cu1'
_symmetry_space_group_name_H-M 'P 1'
_symmetry_Int_Tables_number 1
_symmetry_space_group_name_Hall 'P 1'
_cell_length_a 4.425
_cell_length_b 4.425
_cell_length_c 8.187
_cell_angle_alpha 90.00
_cell_angle_beta 90.00
_cell_angle_gamma 90.00
loop_
_atom_site_label
_atom_site_type_symbol
_atom_site_fract_x
_atom_site_fract_y
_atom_site_fract_z
Ac1 Ac 0.000 0.000 0.000
Cu1 Cu 0.000 0.000 0.500
Al1 Al 0.500 0.500 0.157
Al2 Al 0.000 0.500 0.663
Al3 Al 0.500 0.000 0.663
Al4 Al 0.500 0.500 0.843
Al5 Al 0.500 0.000 0.337
Al6 Al 0.000 0.500 0.337
```